# 1
The following is a DFT calculation (PBE-GGA) of Sr2SeI2 after structural relaxation.

a b c (Å): 4.700 22.528 8.289
angles (deg): 90.00 90.00 90.00
Space group Cmc2_1 (No. 36)
Asymmetric unit:
1 Sr 0.000 0.017 0.000 (multiplicity 4)
2 Sr 0.000 0.330 0.882 (multiplicity 4)
3 Se 0.000 0.092 0.294 (multiplicity 4)
4 I 0.000 0.259 0.535 (multiplicity 4)
5 I 0.000 0.434 0.229 (multiplicity 4)

## Properties
- ΔE_f (raw): -1.73 eV per atom
- Mass density: 3.84 g/cm³



# 2
The following is a DFT calculation (PBE-GGA) of Sr5Se4I after structural relaxation.

a b c (Å): 14.955 4.481 11.057
angles (deg): 90.00 119.82 90.00
Space group C2/m (No. 12)
Asymmetric unit:
1 Sr 0.000 0.000 0.000 (multiplicity 2)
2 Sr 0.112 0.500 0.387 (multiplicity 4)
3 Sr 0.208 0.000 0.818 (multiplicity 4)
4 Se 0.095 0.500 0.894 (multiplicity 4)
5 Se 0.207 0.000 0.298 (multiplicity 4)
6 I 0.000 0.000 0.500 (multiplicity 2)

## Properties
- ΔE_f (raw): -1.88 eV per atom
- Mass density: 4.55 g/cm³



# 3
The following is a DFT calculation (PBE-GGA) of SrSe3I after structural relaxation.

a b c (Å): 6.032 6.032 6.032
angles (deg): 90.00 90.00 90.00
Space group Pm-3m (No. 221)
Asymmetric unit:
1 Sr 0.000 0.000 0.000 (multiplicity 1)
2 Se 0.000 0.000 0.500 (multiplicity 3)
3 I 0.500 0.500 0.500 (multiplicity 1)

## Properties
- ΔE_f (raw): 0.17 eV per atom
- Mass density: 3.42 g/cm³